(1)
A relaxed KSrRe2 crystal, computed with PBE.

a b c (Å): 5.311 5.311 5.311
angles (deg): 60.00 60.00 60.00
Each line ends with the local moment (μB).
Element x y z (fractional)
Sr: 0.500 0.500 0.500  0.06
Re: 0.250 0.250 0.250  2.45
Re: 0.750 0.750 0.750  2.45
K: 0.000 0.000 0.000  0.03

Properties
SG: Fm-3m, No. 225

***

(2)
A relaxed K3SrRe crystal, computed with PBE.

a b c (Å): 6.570 6.570 6.570
angles (deg): 90.00 90.00 90.00
Each line ends with the local moment (μB).
Element x y z (fractional)
K: 0.000 0.000 0.500  0.00
K: 0.000 0.500 0.000  0.00
K: 0.500 0.000 0.000  0.00
Sr: 0.500 0.500 0.500  -0.04
Re: 0.000 0.000 0.000  2.85

Properties
SG: Pm-3m, No. 221

***

(3)
A relaxed KSrRe2 crystal, computed with PBE.

a b c (Å): 8.857 8.857 6.796
angles (deg): 49.33 49.33 90.00
Each line ends with the local moment (μB).
Element x y z (fractional)
K: 0.250 0.750 0.500  0.01
K: 0.500 0.500 0.000  0.01
Re: 0.624 0.125 0.250  1.40
Re: 0.875 0.874 0.750  1.40
Re: 0.126 0.625 0.250  1.40
Re: 0.375 0.376 0.750  1.40
Sr: 0.750 0.250 0.500  0.01
Sr: 0.000 0.000 0.000  0.01

Properties
SG: I-42d, No. 122

***

What did we get for formation energy? Answer: 2332, 1374, 2021 meV/atom, in the order shown.
What did we get for total energy? Answer: -4.5873, -2.1101, -4.8975 eV per atom, in the order shown.
What did we get for E above lowest polymorph? Answer: 1700, 0, 1390 meV/atom, in the order shown.